Entry from Alexandria: a geometry-optimized LaY6Tm3Sc2 structure (PBE).

Calculated values
Its formation energy from the elements is 49 meV per atom. For the magnetization, the calculation gives 0.0 μB/f.u. As for the space-group type: C2/m (12).

Lattice parameters (Å, degrees): 6.0845 6.0845 11.6727 94.96 94.96 119.96
Fractional positions:
1 Y 0.9161 0.5796 0.7508
2 Y 0.4204 0.0839 0.2492
3 Tm 0.1675 0.8325 0.5000
4 Tm 0.5000 0.5000 0.5000
5 Y 0.7471 0.7471 0.2495
6 Tm 0.8325 0.1675 0.5000
7 Y 0.5796 0.9161 0.7508
8 Y 0.2529 0.2529 0.7505
9 Sc 0.3335 0.6665 0.0000
10 Y 0.0839 0.4204 0.2492
11 La 0.0000 0.0000 0.0000
12 Sc 0.6665 0.3335 0.0000